First-principles (PBE-GGA) data for a geometry-optimized NdAlCdHg structure, as listed in Alexandria via LeMat-Bulk.

Geometry as CIF:
```
data_NdAlCdHg
_cell_length_a 7.2552
_cell_length_b 7.2552
_cell_length_c 7.2552
_cell_angle_alpha 90.00
_cell_angle_beta 90.00
_cell_angle_gamma 90.00
_space_group_name_H-M_alt 'F -4 3 m'
_space_group_IT_number 216
_space_group_name_Hall 'F -4 2 3'
loop_
_atom_site_label
_atom_site_type_symbol
_atom_site_fract_x
_atom_site_fract_y
_atom_site_fract_z
Nd1 Nd 0.0000 0.0000 0.0000
Al1 Al 0.2500 0.2500 0.2500
Cd1 Cd 0.0000 0.0000 0.5000
Hg1 Hg 0.2500 0.2500 0.7500
```

Calculated values
theoretical density: 8.422 g cm⁻³
E_form: -1.03 eV/f.u.